Run w
Below is Sb3Ir at its PBEsol-relaxed geometry, with properties calculated at the meta-GGA SCAN level.

Calculated values
The total magnetization is 0.0 μB/f.u. Its space group is P-6m2 (187). Its mass density is 9.6 g/cm3.

```
data_Sb3Ir
_chemical_formula_sum 'Sb3 Ir1'
_cell_length_a 3.4959
_cell_length_b 3.4959
_cell_length_c 9.1271
_cell_angle_alpha 90.00
_cell_angle_beta 90.00
_cell_angle_gamma 120.00
_symmetry_space_group_name_H-M 'P 1'
_symmetry_Int_Tables_number 1
loop_
_symmetry_equiv_pos_as_xyz
'x,y,z'
loop_
_atom_site_label
_atom_site_fract_x
_atom_site_fract_y
_atom_site_fract_z
Sb1 0.0000 0.0000 0.5000
Sb2 0.3333 0.6667 0.8084
Sb3 0.3333 0.6667 0.1916
Ir1 0.0000 0.0000 0.0000
```

***

Run x
Below is Sb3Ir at its PBEsol-relaxed geometry, with properties calculated at the meta-GGA SCAN level.

Calculated values
The total magnetization is 0.0 μB/f.u. Its space group is Pm-3m (221). Its mass density is 6.7 g/cm3.

```
data_Sb3Ir
_chemical_formula_sum 'Sb3 Ir1'
_cell_length_a 5.1651
_cell_length_b 5.1651
_cell_length_c 5.1651
_cell_angle_alpha 90.00
_cell_angle_beta 90.00
_cell_angle_gamma 90.00
_symmetry_space_group_name_H-M 'P 1'
_symmetry_Int_Tables_number 1
loop_
_symmetry_equiv_pos_as_xyz
'x,y,z'
loop_
_atom_site_label
_atom_site_fract_x
_atom_site_fract_y
_atom_site_fract_z
Sb1 0.5000 0.0000 0.0000
Sb2 0.0000 0.5000 0.0000
Sb3 0.0000 0.0000 0.5000
Ir1 0.0000 0.0000 0.0000
```

***

Run y
Below is Sb3Ir at its PBEsol-relaxed geometry, with properties calculated at the meta-GGA SCAN level.

Calculated values
The total magnetization is 0.0 μB/f.u. Its space group is Im-3 (204). Its mass density is 9.3 g/cm3.

```
data_Sb3Ir
_chemical_formula_sum 'Sb12 Ir4'
_cell_length_a 8.0330
_cell_length_b 8.0330
_cell_length_c 8.0330
_cell_angle_alpha 109.47
_cell_angle_beta 109.47
_cell_angle_gamma 109.47
_symmetry_space_group_name_H-M 'P 1'
_symmetry_Int_Tables_number 1
loop_
_symmetry_equiv_pos_as_xyz
'x,y,z'
loop_
_atom_site_label
_atom_site_fract_x
_atom_site_fract_y
_atom_site_fract_z
Ir1 0.5000 0.5000 0.5000
Ir2 0.0000 0.5000 0.0000
Ir3 0.0000 0.0000 0.5000
Ir4 0.5000 0.0000 0.0000
Sb1 0.5060 0.6601 0.8459
Sb2 0.1857 0.3399 0.8459
Sb3 0.8143 0.6601 0.1541
Sb4 0.4940 0.3399 0.1541
Sb5 0.6601 0.8459 0.5060
Sb6 0.3399 0.8459 0.1857
Sb7 0.6601 0.1541 0.8143
Sb8 0.3399 0.1541 0.4940
Sb9 0.8459 0.5060 0.6601
Sb10 0.8459 0.1857 0.3399
Sb11 0.1541 0.8143 0.6601
Sb12 0.1541 0.4940 0.3399
```

***

Run z
Below is Sb3Ir at its PBEsol-relaxed geometry, with properties calculated at the meta-GGA SCAN level.

Calculated values
The total magnetization is 0.0 μB/f.u. Its space group is Pmm2 (25). Its mass density is 9.8 g/cm3.

```
data_Sb3Ir
_chemical_formula_sum 'Sb3 Ir1'
_cell_length_a 3.2756
_cell_length_b 3.0652
_cell_length_c 9.4260
_cell_angle_alpha 90.00
_cell_angle_beta 90.00
_cell_angle_gamma 90.00
_symmetry_space_group_name_H-M 'P 1'
_symmetry_Int_Tables_number 1
loop_
_symmetry_equiv_pos_as_xyz
'x,y,z'
loop_
_atom_site_label
_atom_site_fract_x
_atom_site_fract_y
_atom_site_fract_z
Sb1 0.0000 0.5000 0.4509
Sb2 0.5000 0.5000 0.1437
Sb3 0.5000 0.0000 0.7572
Ir1 0.0000 0.0000 0.9814
```

***

Which structure loses on stability? run x does.

***

Run w
Below is Sb3Ir at its PBEsol-relaxed geometry, with properties calculated at the meta-GGA SCAN level.

Calculated values
The total magnetization is 0.0 μB/f.u. Its space group is Immm (71). Its mass density is 9.9 g/cm3.

```
data_Sb3Ir
_chemical_formula_sum 'Sb3 Ir1'
_cell_length_a 3.4486
_cell_length_b 4.5549
_cell_length_c 6.5803
_cell_angle_alpha 110.25
_cell_angle_beta 105.19
_cell_angle_gamma 90.00
_symmetry_space_group_name_H-M 'P 1'
_symmetry_Int_Tables_number 1
loop_
_symmetry_equiv_pos_as_xyz
'x,y,z'
loop_
_atom_site_label
_atom_site_fract_x
_atom_site_fract_y
_atom_site_fract_z
Sb1 0.6801 0.6801 0.3602
Sb2 0.3199 0.3199 0.6398
Sb3 0.5000 0.0000 0.0000
Ir1 0.0000 0.5000 0.0000
```

***

Run x
Below is Sb3Ir at its PBEsol-relaxed geometry, with properties calculated at the meta-GGA SCAN level.

Calculated values
The total magnetization is 0.0 μB/f.u. Its space group is P4/mmm (123). Its mass density is 10.2 g/cm3.

```
data_Sb3Ir
_chemical_formula_sum 'Sb3 Ir1'
_cell_length_a 3.1501
_cell_length_b 3.1501
_cell_length_c 9.1438
_cell_angle_alpha 90.00
_cell_angle_beta 90.00
_cell_angle_gamma 90.00
_symmetry_space_group_name_H-M 'P 1'
_symmetry_Int_Tables_number 1
loop_
_symmetry_equiv_pos_as_xyz
'x,y,z'
loop_
_atom_site_label
_atom_site_fract_x
_atom_site_fract_y
_atom_site_fract_z
Sb1 0.5000 0.5000 0.8102
Sb2 0.0000 0.0000 0.5000
Sb3 0.5000 0.5000 0.1898
Ir1 0.0000 0.0000 0.0000
```

***

Which structure loses on stability? run x does.

***

Run w
Below is SrScIr at its PBEsol-relaxed geometry, with properties calculated at the meta-GGA SCAN level.

Calculated values
The total magnetization is 0.0 μB/f.u. Its space group is F-43m (216). Its mass density is 7.8 g/cm3.

```
data_SrScIr
_chemical_formula_sum 'Sr1 Sc1 Ir1'
_cell_length_a 4.6114
_cell_length_b 4.6114
_cell_length_c 4.6114
_cell_angle_alpha 60.00
_cell_angle_beta 60.00
_cell_angle_gamma 60.00
_symmetry_space_group_name_H-M 'P 1'
_symmetry_Int_Tables_number 1
loop_
_symmetry_equiv_pos_as_xyz
'x,y,z'
loop_
_atom_site_label
_atom_site_fract_x
_atom_site_fract_y
_atom_site_fract_z
Ir1 0.5000 0.5000 0.5000
Sc1 0.2500 0.2500 0.2500
Sr1 0.0000 0.0000 0.0000
```

***

Run x
Below is SrScIr at its PBEsol-relaxed geometry, with properties calculated at the meta-GGA SCAN level.

Calculated values
The total magnetization is 0.0 μB/f.u. Its space group is P3m1 (156). Its mass density is 6.4 g/cm3.

```
data_SrScIr
_chemical_formula_sum 'Sr1 Sc1 Ir1'
_cell_length_a 4.0721
_cell_length_b 4.0721
_cell_length_c 5.8783
_cell_angle_alpha 90.00
_cell_angle_beta 90.00
_cell_angle_gamma 120.00
_symmetry_space_group_name_H-M 'P 1'
_symmetry_Int_Tables_number 1
loop_
_symmetry_equiv_pos_as_xyz
'x,y,z'
loop_
_atom_site_label
_atom_site_fract_x
_atom_site_fract_y
_atom_site_fract_z
Ir1 0.0000 0.0000 0.9517
Sc1 0.3333 0.6667 0.7840
Sr1 0.6667 0.3333 0.2643
```

***

Which structure loses on stability? run w does.

***

Run w
Below is ScTcIr2 at its PBEsol-relaxed geometry, with properties calculated at the meta-GGA SCAN level.

Calculated values
The total magnetization is 0.0 μB/f.u. Its space group is P4/mmm (123). Its mass density is 14.5 g/cm3.

```
data_ScTcIr2
_chemical_formula_sum 'Sc1 Tc1 Ir2'
_cell_length_a 2.8332
_cell_length_b 4.6210
_cell_length_c 4.6210
_cell_angle_alpha 90.00
_cell_angle_beta 90.00
_cell_angle_gamma 90.00
_symmetry_space_group_name_H-M 'P 1'
_symmetry_Int_Tables_number 1
loop_
_symmetry_equiv_pos_as_xyz
'x,y,z'
loop_
_atom_site_label
_atom_site_fract_x
_atom_site_fract_y
_atom_site_fract_z
Ir1 0.0000 0.0000 0.5000
Ir2 0.0000 0.5000 0.0000
Sc1 0.5000 0.5000 0.5000
Tc1 0.5000 0.0000 0.0000
```

***

Run x
Below is ScTcIr2 at its PBEsol-relaxed geometry, with properties calculated at the meta-GGA SCAN level.

Calculated values
The total magnetization is 1.3 μB/f.u. Its space group is I4/mmm (139). Its mass density is 14.6 g/cm3.

```
data_ScTcIr2
_chemical_formula_sum 'Sc1 Tc1 Ir2'
_cell_length_a 3.9598
_cell_length_b 3.9598
_cell_length_c 4.7313
_cell_angle_alpha 114.74
_cell_angle_beta 114.74
_cell_angle_gamma 90.00
_symmetry_space_group_name_H-M 'P 1'
_symmetry_Int_Tables_number 1
loop_
_symmetry_equiv_pos_as_xyz
'x,y,z'
loop_
_atom_site_label
_atom_site_fract_x
_atom_site_fract_y
_atom_site_fract_z
Ir1 0.7500 0.2500 0.5000
Ir2 0.2500 0.7500 0.5000
Sc1 0.0000 0.0000 0.0000
Tc1 0.5000 0.5000 0.0000
```

***

Which structure loses on stability? run w does.

***

Run w
Below is ScTcIr2 at its PBEsol-relaxed geometry, with properties calculated at the meta-GGA SCAN level.

Calculated values
The total magnetization is 0.0 μB/f.u. Its space group is Cmmm (65). Its mass density is 14.7 g/cm3.

```
data_ScTcIr2
_chemical_formula_sum 'Sc1 Tc1 Ir2'
_cell_length_a 2.8114
_cell_length_b 4.7039
_cell_length_c 4.7039
_cell_angle_alpha 107.13
_cell_angle_beta 90.00
_cell_angle_gamma 90.00
_symmetry_space_group_name_H-M 'P 1'
_symmetry_Int_Tables_number 1
loop_
_symmetry_equiv_pos_as_xyz
'x,y,z'
loop_
_atom_site_label
_atom_site_fract_x
_atom_site_fract_y
_atom_site_fract_z
Ir1 0.0000 0.0000 0.5000
Ir2 0.0000 0.5000 0.0000
Sc1 0.5000 0.5000 0.5000
Tc1 0.5000 0.0000 0.0000
```

***

Run x
Below is ScTcIr2 at its PBEsol-relaxed geometry, with properties calculated at the meta-GGA SCAN level.

Calculated values
The total magnetization is 0.0 μB/f.u. Its space group is Pmm2 (25). Its mass density is 14.3 g/cm3.

```
data_ScTcIr2
_chemical_formula_sum 'Sc1 Tc1 Ir2'
_cell_length_a 2.8015
_cell_length_b 3.8666
_cell_length_c 5.6416
_cell_angle_alpha 90.00
_cell_angle_beta 90.00
_cell_angle_gamma 90.00
_symmetry_space_group_name_H-M 'P 1'
_symmetry_Int_Tables_number 1
loop_
_symmetry_equiv_pos_as_xyz
'x,y,z'
loop_
_atom_site_label
_atom_site_fract_x
_atom_site_fract_y
_atom_site_fract_z
Ir1 0.0000 0.0000 0.9749
Ir2 0.5000 0.5000 0.2553
Sc1 0.0000 0.0000 0.4829
Tc1 0.5000 0.5000 0.7869
```

***

Which structure loses on stability? run x does.

***

Run w
Below is ScTcIr at its PBEsol-relaxed geometry, with properties calculated at the meta-GGA SCAN level.

Calculated values
The total magnetization is 0.0 μB/f.u. Its space group is P3m1 (156). Its mass density is 11.8 g/cm3.

```
data_ScTcIr
_chemical_formula_sum 'Sc1 Tc1 Ir1'
_cell_length_a 2.8583
_cell_length_b 2.8583
_cell_length_c 6.6864
_cell_angle_alpha 90.00
_cell_angle_beta 90.00
_cell_angle_gamma 120.00
_symmetry_space_group_name_H-M 'P 1'
_symmetry_Int_Tables_number 1
loop_
_symmetry_equiv_pos_as_xyz
'x,y,z'
loop_
_atom_site_label
_atom_site_fract_x
_atom_site_fract_y
_atom_site_fract_z
Ir1 0.0000 0.0000 0.0099
Sc1 0.3333 0.6667 0.6692
Tc1 0.6667 0.3333 0.3209
```

***

Run x
Below is ScTcIr at its PBEsol-relaxed geometry, with properties calculated at the meta-GGA SCAN level.

Calculated values
The total magnetization is 0.0 μB/f.u. Its space group is I4mm (107). Its mass density is 11.9 g/cm3.

```
data_ScTcIr
_chemical_formula_sum 'Sc1 Tc1 Ir1'
_cell_length_a 3.1899
_cell_length_b 3.1899
_cell_length_c 5.1367
_cell_angle_alpha 108.09
_cell_angle_beta 108.09
_cell_angle_gamma 90.00
_symmetry_space_group_name_H-M 'P 1'
_symmetry_Int_Tables_number 1
loop_
_symmetry_equiv_pos_as_xyz
'x,y,z'
loop_
_atom_site_label
_atom_site_fract_x
_atom_site_fract_y
_atom_site_fract_z
Ir1 0.9940 0.9940 0.9881
Sc1 0.6662 0.6662 0.3325
Tc1 0.3397 0.3397 0.6795
```

***

Which structure loses on stability? run w does.

***

Run w
Below is ScIr2W at its PBEsol-relaxed geometry, with properties calculated at the meta-GGA SCAN level.

Calculated values
The total magnetization is 0.0 μB/f.u. Its space group is P4/mmm (123). Its mass density is 16.5 g/cm3.

```
data_ScIr2W
_chemical_formula_sum 'Sc1 Ir2 W1'
_cell_length_a 3.6881
_cell_length_b 4.0885
_cell_length_c 4.0885
_cell_angle_alpha 90.00
_cell_angle_beta 90.00
_cell_angle_gamma 90.00
_symmetry_space_group_name_H-M 'P 1'
_symmetry_Int_Tables_number 1
loop_
_symmetry_equiv_pos_as_xyz
'x,y,z'
loop_
_atom_site_label
_atom_site_fract_x
_atom_site_fract_y
_atom_site_fract_z
Ir1 0.0000 0.0000 0.5000
Ir2 0.0000 0.5000 0.0000
Sc1 0.5000 0.5000 0.5000
W1 0.5000 0.0000 0.0000
```

***

Run x
Below is ScIr2W at its PBEsol-relaxed geometry, with properties calculated at the meta-GGA SCAN level.

Calculated values
The total magnetization is 0.0 μB/f.u. Its space group is I-4m2 (119). Its mass density is 16.5 g/cm3.

```
data_ScIr2W
_chemical_formula_sum 'Sc1 Ir2 W1'
_cell_length_a 3.8498
_cell_length_b 3.8498
_cell_length_c 4.9731
_cell_angle_alpha 112.77
_cell_angle_beta 112.77
_cell_angle_gamma 90.00
_symmetry_space_group_name_H-M 'P 1'
_symmetry_Int_Tables_number 1
loop_
_symmetry_equiv_pos_as_xyz
'x,y,z'
loop_
_atom_site_label
_atom_site_fract_x
_atom_site_fract_y
_atom_site_fract_z
Ir1 0.0000 0.0000 0.0000
Ir2 0.2500 0.7500 0.5000
Sc1 0.5000 0.5000 0.0000
W1 0.7500 0.2500 0.5000
```

***

Which structure loses on stability? run x does.

***

Run w
Below is Y2ScIr at its PBEsol-relaxed geometry, with properties calculated at the meta-GGA SCAN level.

Calculated values
The total magnetization is 0.0 μB/f.u. Its space group is Imm2 (44). Its mass density is 7.4 g/cm3.

```
data_Y2ScIr
_chemical_formula_sum 'Y2 Sc1 Ir1'
_cell_length_a 3.4955
_cell_length_b 5.0378
_cell_length_c 6.0843
_cell_angle_alpha 114.46
_cell_angle_beta 106.69
_cell_angle_gamma 90.00
_symmetry_space_group_name_H-M 'P 1'
_symmetry_Int_Tables_number 1
loop_
_symmetry_equiv_pos_as_xyz
'x,y,z'
loop_
_atom_site_label
_atom_site_fract_x
_atom_site_fract_y
_atom_site_fract_z
Y1 0.9997 0.9997 0.9994
Y2 0.7956 0.2956 0.5913
Sc1 0.1963 0.6963 0.3926
Ir1 0.5084 0.5084 0.0168
```

***

Run x
Below is Y2ScIr at its PBEsol-relaxed geometry, with properties calculated at the meta-GGA SCAN level.

Calculated values
The total magnetization is 0.0 μB/f.u. Its space group is R3m (160). Its mass density is 6.5 g/cm3.

```
data_Y2ScIr
_chemical_formula_sum 'Y2 Sc1 Ir1'
_cell_length_a 3.6948
_cell_length_b 3.6948
_cell_length_c 9.2374
_cell_angle_alpha 78.46
_cell_angle_beta 78.46
_cell_angle_gamma 60.00
_symmetry_space_group_name_H-M 'P 1'
_symmetry_Int_Tables_number 1
loop_
_symmetry_equiv_pos_as_xyz
'x,y,z'
loop_
_atom_site_label
_atom_site_fract_x
_atom_site_fract_y
_atom_site_fract_z
Ir1 0.5053 0.5053 0.4842
Sc1 0.2246 0.2246 0.3262
Y1 0.9950 0.9950 0.0151
Y2 0.7751 0.7751 0.6746
```

***

Which structure loses on stability? run x does.